Record 1
A plane-wave DFT calculation with PBE-GGA was carried out for crystalline RbGaAg2 at its relaxed geometry.

Properties
* space-group type: R-3m
* ΔE to the lowest computed polymorph: 0.006 eV/atom
* calculated formation energy: -0.0341 eV per atom

Lattice parameters (Å, degrees): 6.9004 6.9004 6.9004 39.78 39.78 39.78
Closest atoms and distances in Å follow each position.
Positions (direct):
Rb  0.0000  0.0000  0.0000  2 Ag 3.49
Ga  0.5000  0.5000  0.5000  6 Ag 2.73
Ag  0.1833  0.1833  0.1833  3 Ga 2.73, 3 Ag 2.78
Ag  0.8167  0.8167  0.8167  3 Ga 2.73, 3 Ag 2.78

=====

Record 2
A plane-wave DFT calculation with PBE-GGA was carried out for crystalline LiYFe at its relaxed geometry.

Properties
* space-group type: P-6m2
* ΔE to the lowest computed polymorph: 0.300 eV/atom
* calculated formation energy: 0.3350 eV per atom

Lattice parameters (Å, degrees): 4.4993 4.4993 3.3029 90.00 90.00 120.00
Closest atoms and distances in Å follow each position.
Positions (direct):
Li  0.0000  0.0000  0.0000  3 Fe 2.60
Y  0.6667  0.3333  0.5000  6 Li 3.08, 6 Fe 3.08, 2 Y 3.30
Fe  0.3333  0.6667  0.0000  3 Li 2.60

=====

Record 3
A plane-wave DFT calculation with PBE-GGA was carried out for crystalline AgSnHgI3 at its relaxed geometry.

Properties
* space-group type: P2_1/m
* E_tot: -2.280 eV/atom

Lattice parameters (Å, degrees): 11.0047 4.5516 11.5656 90.00 113.44 90.00
Closest atoms and distances in Å follow each position.
Positions (direct):
Ag  0.0734  0.2500  0.0893  4 I 2.88-2.92, 2 Ag 3.07
Ag  0.9266  0.7500  0.9107  4 I 2.88-2.92, 2 Ag 3.07
Sn  0.3284  0.7500  0.3545  6 I 3.15-3.31
Sn  0.6716  0.2500  0.6455  6 I 3.15-3.31
Hg  0.2122  0.2500  0.7460  7 I 4.06-4.25
Hg  0.7878  0.7500  0.2540  7 I 4.06-4.25
I  0.1249  0.2500  0.3537  1 Ag 2.88, 2 Sn 3.19
I  0.2135  0.7500  0.0429  3 Ag 2.91-2.92
I  0.4642  0.7500  0.6513  3 Sn 3.15-3.24
I  0.5358  0.2500  0.3487  3 Sn 3.15-3.24
I  0.7865  0.2500  0.9571  3 Ag 2.91-2.92
I  0.8751  0.7500  0.6463  1 Ag 2.88, 2 Sn 3.19

=====

Record 4
A plane-wave DFT calculation with PBE-GGA was carried out for crystalline CrInSi2Ni at its relaxed geometry.

Properties
* space-group type: P4/mmm
* E_tot: -5.027 eV/atom

Lattice parameters (Å, degrees): 4.3694 4.3694 4.9478 90.00 90.00 90.00
Closest atoms and distances in Å follow each position.
Positions (direct):
Cr  0.0000  0.0000  0.0000  4 Si 2.18
In  0.0000  0.0000  0.5000  2 Cr 2.47
Si  0.0000  0.5000  0.0000  2 Cr 2.18
Si  0.5000  0.0000  0.0000  2 Cr 2.18
Ni  0.5000  0.5000  0.5000  4 In 3.09, 8 Si 3.30

=====

Record 5
A plane-wave DFT calculation with PBE-GGA was carried out for crystalline ErTm2Mg4 at its relaxed geometry.

Properties
* space-group type: Cmmm
* ΔE to the lowest computed polymorph: 0.255 eV/atom
* calculated formation energy: 0.4136 eV per atom

Lattice parameters (Å, degrees): 7.1014 7.1014 5.3865 90.00 90.00 130.64
Closest atoms and distances in Å follow each position.
Positions (direct):
Er  0.0000  0.0000  0.0000  6 Mg 3.11-3.15
Tm  0.3702  0.6298  0.5000  5 Mg 2.97-3.23
Tm  0.6298  0.3702  0.5000  5 Mg 2.97-3.23
Mg  0.1201  0.8799  0.5000  3 Tm 2.97-3.23, 3 Mg 3.10-3.13, 2 Er 3.11
Mg  0.2440  0.7560  0.0000  4 Mg 2.97-3.13, 2 Tm 3.15, 1 Er 3.15
Mg  0.7560  0.2440  0.0000  4 Mg 2.97-3.13, 2 Tm 3.15, 1 Er 3.15
Mg  0.8799  0.1201  0.5000  3 Tm 2.97-3.23, 3 Mg 3.10-3.13, 2 Er 3.11

=====

Record 6
A plane-wave DFT calculation with PBE-GGA was carried out for crystalline BeMoAu at its relaxed geometry.

Properties
* space-group type: P3m1
* ΔE to the lowest computed polymorph: 0.189 eV/atom
* calculated formation energy: 0.2825 eV per atom

Lattice parameters (Å, degrees): 2.7894 2.7894 6.4714 90.00 90.00 120.00
Closest atoms and distances in Å follow each position.
Positions (direct):
Be  0.0000  0.0000  0.0000  3 Au 2.55, 3 Mo 2.58, 6 Be 2.79
Mo  0.6667  0.3333  0.3114  3 Be 2.58, 6 Mo 2.79
Au  0.3333  0.6667  0.6954  3 Be 2.55, 6 Au 2.79

=====

Record 7
A plane-wave DFT calculation with PBE-GGA was carried out for crystalline Ti2ZnCrN at its relaxed geometry.

Properties
* space-group type: P4/mmm
* E_tot: -7.676 eV/atom

Lattice parameters (Å, degrees): 4.1866 4.1866 3.7040 90.00 90.00 90.00
Closest atoms and distances in Å follow each position.
Positions (direct):
Ti  0.0000  0.5000  0.0000  2 N 2.09
Ti  0.5000  0.0000  0.0000  2 N 2.09
Zn  0.0000  0.0000  0.5000  8 Ti 2.79, 4 Cr 2.96
Cr  0.5000  0.5000  0.5000  2 N 1.85
N  0.5000  0.5000  0.0000  2 Cr 1.85

=====

Magnetization for every record listed, in sequence, given in μB per cell: 0.00, 1.75, 0.00, 1.12, 0.00, 0.00, 0.05.